No. 1
A relaxed Pm4FeSn8 crystal. Source: the Alexandria database, functional PBE.

mass density: 7.7 Mg/m³
calculated total energy: -5.129 eV/atom

```
data_Pm4FeSn8
_chemical_formula_sum 'Pm4 Fe1 Sn8'
_cell_length_a 4.486
_cell_length_b 4.569
_cell_length_c 16.779
_cell_angle_alpha 90.00
_cell_angle_beta 90.00
_cell_angle_gamma 90.00
_symmetry_space_group_name_H-M 'P m m 2'
_symmetry_Int_Tables_number 25
_symmetry_space_group_name_Hall 'P 2 -2'
loop_
_atom_site_label
_atom_site_fract_x
_atom_site_fract_y
_atom_site_fract_z
Pm1 0.000 0.000 0.000
Pm2 0.000 0.500 0.494
Pm3 0.500 0.000 0.793
Pm4 0.500 0.500 0.297
Fe1 0.000 0.500 0.701
Sn1 0.000 0.000 0.331
Sn2 0.000 0.000 0.636
Sn3 0.000 0.500 0.147
Sn4 0.000 0.500 0.850
Sn5 0.500 0.000 0.150
Sn6 0.500 0.000 0.456
Sn7 0.500 0.500 0.634
Sn8 0.500 0.500 0.969
```



No. 2
A relaxed YCrSe2 crystal. Source: the Alexandria database, functional PBE.

relative energy among the computed polymorphs: 93 meV/atom
energy relative to the elements, uncorrected: -0.958 eV per atom
mass density: 5.0 Mg/m³

```
data_YCrSe2
_chemical_formula_sum 'Y1 Cr1 Se2'
_cell_length_a 3.800
_cell_length_b 4.164
_cell_length_c 6.556
_cell_angle_alpha 90.00
_cell_angle_beta 106.79
_cell_angle_gamma 90.00
_symmetry_space_group_name_H-M 'P 1 m 1'
_symmetry_Int_Tables_number 6
_symmetry_space_group_name_Hall 'P -2y'
loop_
_atom_site_label
_atom_site_fract_x
_atom_site_fract_y
_atom_site_fract_z
Y1 0.000 0.000 0.000
Cr1 0.778 0.500 0.554
Se1 0.422 0.500 0.843
Se2 0.666 0.000 0.333
```



Number 1: total moment 1.75 μB/f.u., DOS(E_F) 8.1 states/eV/cell. Number 2: total moment 4.77 μB/f.u., DOS(E_F) 1.8 states/eV/cell.